# FeMoPt | Alexandria via LeMat-Bulk | PBE | relaxed
data_FeMoPt
_chemical_formula_sum 'Fe2 Mo2 Pt2'
_cell_length_a 2.791
_cell_length_b 2.791
_cell_length_c 10.940
_cell_angle_alpha 89.99
_cell_angle_beta 90.00
_cell_angle_gamma 90.00
_space_group_name_H-M_alt 'P 1'
_space_group_IT_number 1
_space_group_name_Hall 'P 1'
loop_
_atom_site_label
_atom_site_fract_x
_atom_site_fract_y
_atom_site_fract_z
_atom_site_occupancy
Fe1 0.216 0.958 0.041 1
Fe2 0.716 0.458 0.166 1
Mo1 0.716 0.458 0.880 1
Mo2 0.216 0.958 0.327 1
Pt1 0.216 0.958 0.702 1
Pt2 0.716 0.458 0.505 1
# - Fermi-level density of states (states/eV per cell) = 6.17
# - symmetry = P4/nmm
# - energy relative to the lowest polymorph listed for this composition (meV/atom) = 11

---

# FeMo2Pt | Alexandria via LeMat-Bulk | PBE | relaxed
data_FeMo2Pt
_chemical_formula_sum 'Fe1 Mo2 Pt1'
_cell_length_a 4.758
_cell_length_b 4.758
_cell_length_c 4.758
_cell_angle_alpha 132.55
_cell_angle_beta 132.55
_cell_angle_gamma 69.36
_space_group_name_H-M_alt 'P 1'
_space_group_IT_number 1
_space_group_name_Hall 'P 1'
loop_
_atom_site_label
_atom_site_fract_x
_atom_site_fract_y
_atom_site_fract_z
_atom_site_occupancy
Mo1 0.000 0.000 0.000 1
Mo2 0.500 0.500 0.000 1
Fe1 0.750 0.250 0.500 1
Pt1 0.250 0.750 0.500 1
# - Fermi-level density of states (states/eV per cell) = 2.77
# - symmetry = I4/mmm
# - energy relative to the lowest polymorph listed for this composition (meV/atom) = 18

---

# Fe2MoPt | Alexandria via LeMat-Bulk | PBE | relaxed
data_Fe2MoPt
_chemical_formula_sum 'Fe2 Mo1 Pt1'
_cell_length_a 4.305
_cell_length_b 4.305
_cell_length_c 4.305
_cell_angle_alpha 60.00
_cell_angle_beta 60.00
_cell_angle_gamma 60.00
_space_group_name_H-M_alt 'P 1'
_space_group_IT_number 1
_space_group_name_Hall 'P 1'
loop_
_atom_site_label
_atom_site_fract_x
_atom_site_fract_y
_atom_site_fract_z
_atom_site_occupancy
Fe1 0.000 0.000 0.000 1
Fe2 0.250 0.250 0.250 1
Mo1 0.500 0.500 0.500 1
Pt1 0.750 0.750 0.750 1
# - Fermi-level density of states (states/eV per cell) = 6.34
# - symmetry = F-43m

---

# FeMo2Pt | Alexandria via LeMat-Bulk | PBE | relaxed
data_FeMo2Pt
_chemical_formula_sum 'Fe1 Mo2 Pt1'
_cell_length_a 3.226
_cell_length_b 3.226
_cell_length_c 5.768
_cell_angle_alpha 90.00
_cell_angle_beta 90.00
_cell_angle_gamma 90.00
_space_group_name_H-M_alt 'P 1'
_space_group_IT_number 1
_space_group_name_Hall 'P 1'
loop_
_atom_site_label
_atom_site_fract_x
_atom_site_fract_y
_atom_site_fract_z
_atom_site_occupancy
Fe1 0.500 0.500 0.752 1
Mo1 0.000 0.000 0.992 1
Mo2 0.500 0.500 0.240 1
Pt1 0.000 0.000 0.516 1
# - Fermi-level density of states (states/eV per cell) = 5.50
# - symmetry = P4mm
# - energy relative to the lowest polymorph listed for this composition (meV/atom) = 137

---

Computed values of energy of formation (unit: eV/atom) for the preceding records, in sequence: -0.1114; -0.0972; 0.1070; 0.0214.